No. 1
This record from Alexandria via LeMat-Bulk describes a relaxed Tb7NdHo2 crystal. The functional is PBE-GGA.

a = 9.139 Å, b = 9.139 Å, c = 5.644 Å
α = 90.00°, β = 90.00°, γ = 122.69°
Fractional positions:
Tb (0.000, 0.000, 0.000)
Tb (0.207, 0.438, 0.000)
Tb (0.280, 0.720, 0.500)
Tb (0.438, 0.207, 0.000)
Tb (0.562, 0.793, 0.000)
Tb (0.720, 0.280, 0.500)
Tb (0.793, 0.562, 0.000)
Nd (0.500, 0.500, 0.500)
Ho (0.204, 0.796, 0.000)
Ho (0.796, 0.204, 0.000)

**ΔH_f (0 K)**: 0.69 eV/atom
**Mass density**: 6.641 Mg/m³
**Raw total energy**: -39.449 eV per cell
**Energy relative to the lowest polymorph listed for this composition**: 672 meV/atom


No. 2
This record from Alexandria via LeMat-Bulk describes a relaxed BeFeGe2 crystal. The functional is PBE-GGA.

a = 8.114 Å, b = 8.114 Å, c = 8.114 Å
α = 20.69°, β = 20.69°, γ = 20.69°
Fractional positions:
Be (0.000, 0.000, 0.000)
Fe (0.500, 0.500, 0.500)
Ge (0.093, 0.093, 0.093)
Ge (0.907, 0.907, 0.907)

**ΔH_f (0 K)**: 0.27 eV/atom
**Mass density**: 5.980 Mg/m³
**Raw total energy**: -20.362 eV per cell


No. 3
This record from Alexandria via LeMat-Bulk describes a relaxed BaNaSr2Sb crystal. The functional is PBE-GGA.

a = 6.429 Å, b = 6.429 Å, c = 6.780 Å
α = 90.00°, β = 90.00°, γ = 90.00°
Fractional positions:
Ba (0.000, 0.000, 0.000)
Na (0.500, 0.500, 0.000)
Sr (0.000, 0.500, 0.500)
Sr (0.500, 0.000, 0.500)
Sb (0.000, 0.000, 0.500)

**Mass density**: 2.710 Mg/m³
**Raw total energy**: -12.551 eV per cell
**Uncorrected formation energy**: -176 kJ/mol of formula units


No. 4
This record from Alexandria via LeMat-Bulk describes a relaxed LuPaCuRh crystal. The functional is PBE-GGA.

a = 4.844 Å, b = 4.844 Å, c = 4.844 Å
α = 60.00°, β = 60.00°, γ = 60.00°
Fractional positions:
Lu (0.000, 0.000, 0.000)
Pa (0.500, 0.500, 0.500)
Cu (0.750, 0.750, 0.750)
Rh (0.250, 0.250, 0.250)

**ΔH_f (0 K)**: -0.38 eV/atom
**Mass density**: 11.827 Mg/m³
**Raw total energy**: -26.975 eV per cell


No. 5
This record from Alexandria via LeMat-Bulk describes a relaxed ScNb2 crystal. The functional is PBE-GGA.

a = 5.624 Å, b = 5.624 Å, c = 5.624 Å
α = 144.28°, β = 144.28°, γ = 51.41°
Fractional positions:
Sc (0.000, 0.000, 0.000)
Nb (0.312, 0.312, 0.000)
Nb (0.688, 0.688, 0.000)

**ΔH_f (0 K)**: 0.07 eV/atom
**Mass density**: 6.354 Mg/m³
**Raw total energy**: -26.250 eV per cell
**Energy relative to the lowest polymorph listed for this composition**: 0 meV/atom


No. 6
This record from Alexandria via LeMat-Bulk describes a relaxed CaLaCdN crystal. The functional is PBE-GGA.

a = 3.539 Å, b = 3.539 Å, c = 8.078 Å
α = 102.61°, β = 102.61°, γ = 90.00°
Fractional positions:
Ca (0.000, 0.000, 0.000)
La (0.688, 0.688, 0.376)
Cd (0.364, 0.364, 0.727)
N (0.154, 0.154, 0.303)

**Mass density**: 5.271 Mg/m³
**Raw total energy**: -18.911 eV per cell
**Uncorrected formation energy**: -264 kJ/mol of formula units


No. 7
This record from Alexandria via LeMat-Bulk describes a relaxed Hg2AsRh2 crystal. The functional is PBE-GGA.

a = 6.410 Å, b = 6.410 Å, c = 4.499 Å
α = 90.00°, β = 90.00°, γ = 90.00°
Fractional positions:
Hg (0.157, 0.343, 0.000)
Hg (0.343, 0.843, 0.000)
Hg (0.657, 0.157, 0.000)
Hg (0.843, 0.657, 0.000)
As (0.000, 0.000, 0.500)
As (0.500, 0.500, 0.500)
Rh (0.159, 0.659, 0.500)
Rh (0.341, 0.159, 0.500)
Rh (0.659, 0.841, 0.500)
Rh (0.841, 0.341, 0.500)

**ΔH_f (0 K)**: -0.02 eV/atom
**Mass density**: 12.254 Mg/m³
**Raw total energy**: -40.099 eV per cell
**Energy relative to the lowest polymorph listed for this composition**: 0 meV/atom


No. 8
This record from Alexandria via LeMat-Bulk describes a relaxed CaAs2Br crystal. The functional is PBE-GGA.

a = 3.596 Å, b = 3.596 Å, c = 8.391 Å
α = 90.00°, β = 90.00°, γ = 90.00°
Fractional positions:
Ca (0.000, 0.000, 0.000)
As (0.000, 0.000, 0.369)
As (0.500, 0.500, 0.255)
Br (0.500, 0.500, 0.809)

**Mass density**: 4.130 Mg/m³
**Raw total energy**: -16.114 eV per cell
**Energy relative to the lowest polymorph listed for this composition**: 92 meV/atom
**Uncorrected formation energy**: -303 kJ/mol of formula units


No. 9
This record from Alexandria via LeMat-Bulk describes a relaxed KLiF3 crystal. The functional is PBE-GGA.

a = 7.916 Å, b = 7.916 Å, c = 5.269 Å
α = 97.94°, β = 97.94°, γ = 83.25°
Fractional positions:
K (0.088, 0.334, 0.279)
K (0.334, 0.088, 0.779)
K (0.666, 0.912, 0.221)
K (0.912, 0.666, 0.721)
Li (0.277, 0.723, 0.250)
Li (0.476, 0.524, 0.750)
Li (0.524, 0.476, 0.250)
Li (0.723, 0.277, 0.750)
F (0.035, 0.809, 0.235)
F (0.122, 0.378, 0.795)
F (0.191, 0.965, 0.265)
F (0.327, 0.551, 0.449)
F (0.378, 0.122, 0.295)
F (0.449, 0.673, 0.051)
F (0.551, 0.327, 0.949)
F (0.622, 0.878, 0.705)
F (0.673, 0.449, 0.551)
F (0.809, 0.035, 0.735)
F (0.878, 0.622, 0.205)
F (0.965, 0.191, 0.765)

**Mass density**: 2.124 Mg/m³
**Raw total energy**: -79.946 eV per cell
**Energy relative to the lowest polymorph listed for this composition**: 31 meV/atom
**Uncorrected formation energy**: -1096 kJ/mol of formula units


No. 10
This record from Alexandria via LeMat-Bulk describes a relaxed NaSrPbCl6 crystal. The functional is PBE-GGA.

a = 6.607 Å, b = 6.607 Å, c = 13.016 Å
α = 90.00°, β = 90.00°, γ = 90.00°
Fractional positions:
Na (0.000, 0.000, 0.000)
Na (0.500, 0.500, 0.500)
Sr (0.000, 0.000, 0.334)
Sr (0.500, 0.500, 0.834)
Pb (0.000, 0.000, 0.667)
Pb (0.500, 0.500, 0.167)
Cl (0.189, 0.189, 0.830)
Cl (0.195, 0.195, 0.510)
Cl (0.204, 0.204, 0.164)
Cl (0.296, 0.704, 0.664)
Cl (0.305, 0.695, 0.010)
Cl (0.311, 0.689, 0.330)
Cl (0.689, 0.311, 0.330)
Cl (0.695, 0.305, 0.010)
Cl (0.704, 0.296, 0.664)
Cl (0.796, 0.796, 0.164)
Cl (0.805, 0.805, 0.510)
Cl (0.811, 0.811, 0.830)

**Mass density**: 3.101 Mg/m³
**Raw total energy**: -63.509 eV per cell
**Uncorrected formation energy**: -1347 kJ/mol of formula units


No. 11
This record from Alexandria via LeMat-Bulk describes a relaxed SnBi2Pt2 crystal. The functional is PBE-GGA.

a = 7.362 Å, b = 7.362 Å, c = 4.285 Å
α = 90.00°, β = 90.00°, γ = 90.00°
Fractional positions:
Sn (0.000, 0.000, 0.000)
Sn (0.500, 0.500, 0.000)
Bi (0.165, 0.335, 0.500)
Bi (0.335, 0.835, 0.500)
Bi (0.665, 0.165, 0.500)
Bi (0.835, 0.665, 0.500)
Pt (0.137, 0.637, 0.000)
Pt (0.363, 0.137, 0.000)
Pt (0.637, 0.863, 0.000)
Pt (0.863, 0.363, 0.000)

**ΔH_f (0 K)**: -0.14 eV/atom
**Mass density**: 13.255 Mg/m³
**Raw total energy**: -49.081 eV per cell
**Energy relative to the lowest polymorph listed for this composition**: 209 meV/atom


No. 12
This record from Alexandria via LeMat-Bulk describes a relaxed BaLa3Ru crystal. The functional is PBE-GGA.

a = 5.744 Å, b = 5.744 Å, c = 5.744 Å
α = 90.00°, β = 90.00°, γ = 90.00°
Fractional positions:
Ba (0.000, 0.000, 0.000)
La (0.000, 0.500, 0.500)
La (0.500, 0.000, 0.500)
La (0.500, 0.500, 0.000)
Ru (0.500, 0.500, 0.500)

**ΔH_f (0 K)**: -0.11 eV/atom
**Mass density**: 5.741 Mg/m³
**Raw total energy**: -26.547 eV per cell
**Energy relative to the lowest polymorph listed for this composition**: 34 meV/atom


Repeat the first record exactly.
This record from Alexandria via LeMat-Bulk describes a relaxed Tb7NdHo2 crystal. The functional is PBE-GGA.

a = 9.139 Å, b = 9.139 Å, c = 5.644 Å
α = 90.00°, β = 90.00°, γ = 122.69°
Fractional positions:
Tb (0.000, 0.000, 0.000)
Tb (0.207, 0.438, 0.000)
Tb (0.280, 0.720, 0.500)
Tb (0.438, 0.207, 0.000)
Tb (0.562, 0.793, 0.000)
Tb (0.720, 0.280, 0.500)
Tb (0.793, 0.562, 0.000)
Nd (0.500, 0.500, 0.500)
Ho (0.204, 0.796, 0.000)
Ho (0.796, 0.204, 0.000)

**ΔH_f (0 K)**: 0.69 eV/atom
**Mass density**: 6.641 Mg/m³
**Raw total energy**: -39.449 eV per cell
**Energy relative to the lowest polymorph listed for this composition**: 672 meV/atom